# 1
Here is a relaxed structure of Zr2IrRh from the Alexandria database. Energies are from PBEsol.

Properties
Raw total energy, eV per atom: -9.8518
Volume, Å³ per cell: 70.3
Magnetization, μB/cell: 0.00
DOS at the Fermi energy, states/eV per cell: 2.55
Symmetry: Pm
ΔH_f (0 K), eV/atom: -0.82

Structure (extended XYZ):
```
4
Lattice="3.1328 0.0000 -0.0174 0.0000 4.4668 0.0000 -1.1829 0.0000 5.0305" Properties=species:S:1:pos:R:3 pbc="T T T"
Zr 2.0312 0.0000 4.5377
Ir 0.4235 0.0000 2.2061
Zr 1.9727 2.2334 1.7078
Rh 0.4472 2.2334 4.0813
```

# 2
Here is a relaxed structure of RbBi2Pd2 from the Alexandria database. Energies are from PBEsol.

Properties
Raw total energy, eV per atom: -4.5867
Volume, Å³ per cell: 136.9
Magnetization, μB/cell: 0.00
DOS at the Fermi energy, states/eV per cell: 2.56
Symmetry: I4/mmm
ΔH_f (0 K), eV/atom: -0.28

Structure (extended XYZ):
```
5
Lattice="4.8196 0.0000 0.0000 0.0000 4.8196 0.0000 -2.4098 -2.4098 5.8946" Properties=species:S:1:pos:R:3 pbc="T T T"
Pd 2.4098 0.0000 2.9473
Bi 0.0000 0.0000 4.1960
Bi 2.4098 2.4098 1.6986
Rb 0.0000 0.0000 0.0000
Pd 0.0000 2.4098 2.9473
```

# 3
Here is a relaxed structure of CoRe3 from the Alexandria database. Energies are from PBEsol.

Properties
Raw total energy, eV per atom: -11.9208
Volume, Å³ per cell: 53.9
Magnetization, μB/cell: 0.00
DOS at the Fermi energy, states/eV per cell: 3.11
Symmetry: Pm-3m
ΔH_f (0 K), eV/atom: 0.01

Structure (extended XYZ):
```
4
Lattice="3.7766 0.0000 0.0000 0.0000 3.7766 0.0000 0.0000 0.0000 3.7766" Properties=species:S:1:pos:R:3 pbc="T T T"
Re 1.8883 1.8883 0.0000
Re 1.8883 0.0000 1.8883
Co 0.0000 0.0000 0.0000
Re 0.0000 1.8883 1.8883
```

# 4
Here is a relaxed structure of PrAlH6 from the Alexandria database. Energies are from PBEsol.

Properties
Raw total energy, eV per atom: -3.9385
Volume, Å³ per cell: 71.5
Magnetization, μB/cell: 0.00
DOS at the Fermi energy, states/eV per cell: 0.00
Symmetry: R-3m

Structure (extended XYZ):
```
8
Lattice="4.1986 0.0100 0.0119 -0.6060 4.1546 0.0119 -0.6060 -0.7025 4.0948" Properties=species:S:1:pos:R:3 pbc="T T T"
Pr 1.4933 1.7311 2.0593
H 3.5777 1.0466 1.2451
H 0.5104 0.5917 3.8516
H 2.4761 2.8704 0.2670
H 0.5104 3.6926 1.2451
H 2.4761 -0.2305 2.8736
Al 0.0000 0.0000 0.0000
H -0.5912 2.4155 2.8736
```

# 5
Here is a relaxed structure of Y2ReSe from the Alexandria database. Energies are from PBEsol.

Properties
Raw total energy, eV per atom: -7.5825
Volume, Å³ per cell: 78.5
Magnetization, μB/cell: 0.00
DOS at the Fermi energy, states/eV per cell: 3.55
Symmetry: F-43m
ΔE_f (raw), eV/atom: 0.12

Structure (extended XYZ):
```
4
Lattice="-4.1032 2.4701 0.3969 -4.0533 -2.2591 1.2498 -1.9373 0.7608 4.3316" Properties=species:S:1:pos:R:3 pbc="T T T"
Y -2.5235 0.2430 1.4946
Y 0.0000 0.0000 0.0000
Se -7.5704 0.7289 4.4837
Re -5.0469 0.4859 2.9891
```

# 6
Here is a relaxed structure of CsRbSi3 from the Alexandria database. Energies are from PBEsol.

Properties
Raw total energy, eV per atom: -2.1267
Volume, Å³ per cell: 184.4
Magnetization, μB/cell: 0.00
DOS at the Fermi energy, states/eV per cell: 5.27
Symmetry: Pm-3m
ΔE_f (raw), eV/atom: 1.71

Structure (extended XYZ):
```
5
Lattice="5.6916 0.0000 0.0000 0.0000 5.6916 0.0000 0.0000 0.0000 5.6916" Properties=species:S:1:pos:R:3 pbc="T T T"
Rb 2.8458 2.8458 2.8458
Si 0.0000 2.8458 0.0000
Si 2.8458 0.0000 0.0000
Cs 0.0000 0.0000 0.0000
Si 0.0000 0.0000 2.8458
```

# 7
Here is a relaxed structure of MgSi3B from the Alexandria database. Energies are from PBEsol.

Properties
Raw total energy, eV per atom: -4.6329
Volume, Å³ per cell: 73.9
Magnetization, μB/cell: 0.00
DOS at the Fermi energy, states/eV per cell: 2.41
Symmetry: Pm-3m
ΔE_f (raw), eV/atom: 0.56

Structure (extended XYZ):
```
5
Lattice="-1.8343 1.8762 -3.2741 -2.0114 -3.5663 -0.9167 -3.1928 1.1688 2.4586" Properties=species:S:1:pos:R:3 pbc="T T T"
Mg -3.5193 -0.2606 -0.8661
Si -0.9172 0.9381 -1.6370
B 0.0000 0.0000 0.0000
Si -1.0057 -1.7831 -0.4584
Si -1.5964 0.5844 1.2293
```

# 8
Here is a relaxed structure of K2InCl from the Alexandria database. Energies are from PBEsol.

Properties
Raw total energy, eV per atom: -2.3575
Volume, Å³ per cell: 143.1
Magnetization, μB/cell: 0.00
DOS at the Fermi energy, states/eV per cell: 2.21
Symmetry: I-4m2
ΔE_f (raw), eV/atom: -0.54

Structure (extended XYZ):
```
4
Lattice="-2.2737 -2.3623 -3.4037 -3.1726 -1.5042 3.1634 -0.8886 7.0934 -1.0485" Properties=species:S:1:pos:R:3 pbc="T T T"
K -2.9428 1.3989 -2.2861
K 0.0000 0.0000 0.0000
In -3.3922 1.8280 0.9974
Cl -2.7232 -1.9333 -0.1201
```

# 9
Here is a relaxed structure of Mo2RuPt from the Alexandria database. Energies are from PBEsol.

Properties
Raw total energy, eV per atom: -10.0556
Volume, Å³ per cell: 60.0
Magnetization, μB/cell: 0.00
DOS at the Fermi energy, states/eV per cell: 3.97
Symmetry: P4/mmm
ΔH_f (0 K), eV/atom: 0.11

Structure (extended XYZ):
```
4
Lattice="-0.3119 2.8948 1.5691 -2.7885 0.6059 -1.6723 -2.9056 -2.4567 3.9549" Properties=species:S:1:pos:R:3 pbc="T T T"
Mo -2.1132 -1.7868 2.8763
Ru -3.0030 0.5220 1.9258
Pt -1.5502 1.7504 -0.0516
Mo -0.7924 -0.6700 1.0785
```

# 10
Here is a relaxed structure of Sc2MnAl from the Alexandria database. Energies are from PBEsol.

Properties
Raw total energy, eV per atom: -6.4132
Volume, Å³ per cell: 76.3
Magnetization, μB/cell: 2.56
DOS at the Fermi energy, states/eV per cell: 4.62
Symmetry: R-3m
ΔH_f (0 K), eV/atom: 0.35

Structure (extended XYZ):
```
4
Lattice="-1.8809 1.9498 -1.3662 -1.7284 -0.9283 -2.3145 -8.1439 -2.0512 4.9156" Properties=species:S:1:pos:R:3 pbc="T T T"
Sc -6.3615 -1.4370 3.3381
Sc -5.3918 0.4072 -2.1033
Mn 0.0000 0.0000 0.0000
Al -5.8766 -0.5149 0.6174
```

# 11
Here is a relaxed structure of Sr2As2Br from the Alexandria database. Energies are from PBEsol.

Properties
Raw total energy, eV per atom: -4.1845
Volume, Å³ per cell: 143.6
Magnetization, μB/cell: 0.00
DOS at the Fermi energy, states/eV per cell: 1.39
Symmetry: I4/mmm
ΔE_f (raw), eV/atom: -1.03

Structure (extended XYZ):
```
5
Lattice="4.1517 0.0000 0.0000 0.0000 4.1517 0.0000 -2.0758 -2.0758 8.3315" Properties=species:S:1:pos:R:3 pbc="T T T"
Br 0.0000 0.0000 0.0000
As 0.0000 2.0758 4.1657
Sr 0.0000 0.0000 6.3595
As 2.0758 0.0000 4.1657
Sr 2.0758 2.0758 1.9720
```

# 12
Here is a relaxed structure of Ge2TeMoIr from the Alexandria database. Energies are from PBEsol.

Properties
Raw total energy, eV per atom: -5.0571
Volume, Å³ per cell: 128.0
Magnetization, μB/cell: 4.10
DOS at the Fermi energy, states/eV per cell: 4.16
Symmetry: P4/mmm
ΔE_f (raw), eV/atom: 1.94

Structure (extended XYZ):
```
5
Lattice="4.7763 0.0000 0.0000 0.0000 5.1771 0.0000 0.0000 0.0000 5.1771" Properties=species:S:1:pos:R:3 pbc="T T T"
Mo 2.3881 2.5885 2.5885
Ir 2.3881 0.0000 0.0000
Ge 0.0000 2.5885 0.0000
Te 0.0000 0.0000 0.0000
Ge 0.0000 0.0000 2.5885
```